# 1
Computed, not measured: a relaxed structure of Gd2Mo2C3 at the PBE level of DFT.

Output
Raw total energy, eV/atom: -11.38
E_form, eV/f.u.: -2.15

Cell lengths 11.899, 3.374, 5.782 Å; angles 90.00, 113.31, 90.00 degrees
Space group C2/m (No. 12)
Inequivalent atoms, fractional coordinates:
1 Gd 0.109 0.000 0.320 [4 per cell]
2 Mo 0.158 0.500 0.824 [4 per cell]
3 C 0.000 0.500 0.500 [2 per cell]
4 C 0.249 0.500 0.231 [4 per cell]

=====

# 2
Computed, not measured: a relaxed structure of Ac8PmRh6 at the PBE level of DFT.

Output
Raw total energy, eV/atom: -6.04
E_form, eV/f.u.: -8.88

Cell lengths 7.4902, 7.4902, 30.1710 Å; angles 90.00, 90.00, 120.00 degrees
Space group R-3 (No. 148, hexagonal axes)
Inequivalent atoms, fractional coordinates:
1 Ac 0.0000 0.0000 0.1667 [6 per cell]
2 Ac 0.9998 0.3330 0.2750 [18 per cell]
3 Pm 0.0000 0.0000 0.5000 [3 per cell]
4 Rh 0.0000 0.3277 0.4413 [18 per cell]

=====

Copy entry 2 word for word.
Computed, not measured: a relaxed structure of Ac8PmRh6 at the PBE level of DFT.

Output
Raw total energy, eV/atom: -6.04
E_form, eV/f.u.: -8.88

Cell lengths 7.4902, 7.4902, 30.1710 Å; angles 90.00, 90.00, 120.00 degrees
Space group R-3 (No. 148, hexagonal axes)
Inequivalent atoms, fractional coordinates:
1 Ac 0.0000 0.0000 0.1667 [6 per cell]
2 Ac 0.9998 0.3330 0.2750 [18 per cell]
3 Pm 0.0000 0.0000 0.5000 [3 per cell]
4 Rh 0.0000 0.3277 0.4413 [18 per cell]